{
  "formula": "HgTe3",
  "functional": "meta-GGA SCAN",
  "state": "single point on PBEsol structure",
  "lattice": [[3.108, 0.000, -0.040], [0.000, 4.373, 0.000], [-0.795, 0.000, 8.678]],
  "species": ["Te", "Te", "Hg", "Te"],
  "fractional_positions": [[0.048, 0.500, 0.761], [0.952, 0.500, 0.239], [0.000, 0.000, 0.000], [0.000, 0.000, 0.500]],
  "total_energy_ev_per_atom": -44.9636,
  "vol_a3_per_atom": 29.457,
  "e_form_raw_ev_per_atom": 0.02
}

***

{
  "formula": "TmRe2",
  "functional": "meta-GGA SCAN",
  "state": "single point on PBEsol structure",
  "lattice": [[-4.333, 3.110, 0.059], [1.261, -2.898, 4.297], [4.760, 6.575, 3.037]],
  "species": ["Re", "Re", "Re", "Re", "Re", "Re", "Re", "Tm", "Tm", "Re", "Tm", "Tm"],
  "fractional_positions": [[0.171, 0.829, 0.750], [0.342, 0.171, 0.250], [0.658, 0.829, 0.750], [0.829, 0.171, 0.250], [0.171, 0.342, 0.750], [0.000, 0.000, 0.000], [0.000, 0.000, 0.500], [0.667, 0.333, 0.562], [0.333, 0.667, 0.438], [0.829, 0.658, 0.250], [0.667, 0.333, 0.938], [0.333, 0.667, 0.062]],
  "total_energy_ev_per_atom": -65.0678,
  "formation_energy_ev_per_atom": -0.392,
  "vol_a3_per_atom": 17.795
}

***

{
  "formula": "Ti2Ge2Pb",
  "functional": "meta-GGA SCAN",
  "state": "single point on PBEsol structure",
  "lattice": [[3.617, 0.000, 0.000], [0.000, 3.617, 0.000], [-1.809, -1.809, 6.992]],
  "species": ["Pb", "Ge", "Ti", "Ti", "Ge"],
  "fractional_positions": [[0.000, 0.000, 0.000], [0.250, 0.750, 0.500], [0.609, 0.609, 0.217], [0.391, 0.391, 0.783], [0.750, 0.250, 0.500]],
  "total_energy_ev_per_atom": -29.4567,
  "formation_energy_ev_per_atom": -0.253,
  "vol_a3_per_atom": 18.297
}

***

{
  "formula": "BiPS2N",
  "functional": "meta-GGA SCAN",
  "state": "single point on PBEsol structure",
  "lattice": [[3.873, 0.000, 0.000], [0.000, 4.533, 0.000], [0.000, 0.000, 4.533]],
  "species": ["P", "S", "S", "N", "Bi"],
  "fractional_positions": [[0.500, 0.000, 0.000], [0.000, 0.500, 0.000], [0.000, 0.000, 0.500], [0.000, 0.000, 0.000], [0.500, 0.500, 0.500]],
  "total_energy_ev_per_atom": -22.5114,
  "vol_a3_per_atom": 15.921,
  "e_form_raw_ev_per_atom": 0.99
}

***

{
  "formula": "TlGeN2",
  "functional": "meta-GGA SCAN",
  "state": "single point on PBEsol structure",
  "lattice": [[4.167, 0.000, 0.000], [2.083, 3.608, 0.000], [2.083, 1.203, 3.402]],
  "species": ["N", "N", "Tl", "Ge"],
  "fractional_positions": [[0.750, 0.750, 0.750], [0.250, 0.250, 0.250], [0.500, 0.500, 0.500], [0.000, 0.000, 0.000]],
  "total_energy_ev_per_atom": -25.7655,
  "vol_a3_per_atom": 12.788,
  "e_form_raw_ev_per_atom": 1.74
}

***

{
  "formula": "Sb2Au",
  "functional": "meta-GGA SCAN",
  "state": "single point on PBEsol structure",
  "lattice": [[-3.401, 2.230, -0.657], [0.043, -1.564, -5.533], [-1.809, -6.062, 1.700]],
  "species": ["Sb", "Sb", "Au", "Sb", "Sb", "Au"],
  "fractional_positions": [[0.315, 0.750, 0.630], [0.025, 0.750, 0.049], [0.332, 0.250, 0.665], [0.975, 0.250, 0.951], [0.685, 0.250, 0.370], [0.668, 0.750, 0.335]],
  "total_energy_ev_per_atom": -48.0276,
  "vol_a3_per_atom": 24.548,
  "e_form_raw_ev_per_atom": -0.13
}